# 1
KGeBiS3: relaxed, PBE. Values from VASP.

ΔE_f (raw)	-603	meV/atom
VASP energy	-4.266	eV/atom

Geometry as Quantum ESPRESSO input:
```
&SYSTEM
  ibrav = 0, nat = 12, ntyp = 4
/
ATOMIC_SPECIES
Ge 72.64 Ge.upf
S 32.06 S.upf
Bi 208.98 Bi.upf
K 39.10 K.upf
ATOMIC_POSITIONS angstrom
Ge -3.117 -5.288 0.153
S 1.747 -2.555 -2.997
S -2.085 -6.404 -1.896
S -4.814 -6.814 0.619
S 2.034 -5.671 -0.650
Bi 3.656 -3.442 -1.189
S -1.798 -9.520 0.452
Ge 3.065 -6.787 -2.698
S 4.763 -5.261 -3.164
K 0.245 -8.743 -1.994
Bi -3.708 -8.633 -1.356
K -0.296 -3.332 -0.551
CELL_PARAMETERS angstrom
-0.637 -0.472 -3.866
7.575 -3.152 -0.864
-6.989 -8.451 2.185
```

# 2
KGeBiS4: relaxed, PBE. Values from VASP.

ΔE_f (raw)	-620	meV/atom
VASP energy	-4.350	eV/atom
energy above the most stable polymorph in this dataset	14	meV per atom

Geometry as Quantum ESPRESSO input:
```
&SYSTEM
  ibrav = 0, nat = 14, ntyp = 4
/
ATOMIC_SPECIES
Bi 208.98 Bi.upf
S 32.06 S.upf
K 39.10 K.upf
Ge 72.64 Ge.upf
ATOMIC_POSITIONS angstrom
Bi -4.811 5.780 -0.538
S -6.306 8.117 0.244
K -1.682 1.511 -0.882
Ge -4.862 2.944 1.439
S -1.055 6.670 2.980
Bi -1.264 3.832 2.760
S -5.020 2.941 -0.759
S 0.230 1.495 1.977
S -3.154 1.724 2.220
S -2.921 7.887 0.002
K -4.393 8.101 3.103
S -1.405 4.554 0.103
S -4.670 5.057 2.119
Ge -1.213 6.667 0.783
CELL_PARAMETERS angstrom
-0.114 3.986 -5.367
-6.820 0.463 0.489
0.859 5.162 7.099
```

# 3
KGe2BiSe6: relaxed, PBE. Values from VASP.

ΔE_f (raw)	-396	meV/atom
VASP energy	-3.908	eV/atom

Geometry as Quantum ESPRESSO input:
```
&SYSTEM
  ibrav = 0, nat = 20, ntyp = 4
/
ATOMIC_SPECIES
Bi 208.98 Bi.upf
Se 78.96 Se.upf
K 39.10 K.upf
Ge 72.64 Ge.upf
ATOMIC_POSITIONS angstrom
Bi -3.150 2.709 11.442
Se -0.622 1.807 3.379
Se 0.988 0.571 6.741
Se -2.841 -0.032 5.987
K -1.559 0.010 8.943
Se 0.385 -1.638 14.288
Ge -0.716 0.036 4.988
Se 0.024 3.301 9.192
Se 1.981 1.224 16.544
Se 4.200 3.063 13.937
Se -2.378 -0.056 12.059
Bi 4.509 0.323 8.482
Ge -0.131 0.101 12.726
Ge 2.075 2.995 14.936
Se 3.737 3.087 7.864
K 2.918 3.021 10.980
Se 1.335 -0.270 10.732
Se 0.974 4.669 5.636
Ge 1.490 2.930 7.198
Se 0.371 2.461 13.183
CELL_PARAMETERS angstrom
0.075 5.565 4.750
-5.724 -1.595 8.071
7.008 -0.939 7.103
```